Here is a relaxed Ce2HfSc crystal from Alexandria via LeMat-Bulk. Energies are from GGA-PBE.

Lattice parameters (Å, degrees): 3.213 3.213 9.905 90.00 90.00 90.00
Element x y z (fractional)
Ce1 0.000 0.000 0.243
Ce2 0.000 0.000 0.757
Hf1 0.500 0.500 0.000
Sc1 0.500 0.500 0.500

Computed properties:
- DFT total energy (eV/atom) = -6.92
- spin magnetization (μB per cell) = 0.0
- calculated formation energy (eV/atom) = 0.1199

Here is a relaxed Ce6As3PSe2 crystal from Alexandria via LeMat-Bulk. Energies are from GGA-PBE.

Lattice parameters (Å, degrees): 9.379 9.379 8.392 102.78 102.78 25.86
Element x y z (fractional)
Ce1 0.001 0.001 0.258
Ce2 0.335 0.335 0.914
Ce3 0.336 0.336 0.422
Ce4 0.664 0.664 0.578
Ce5 0.665 0.665 0.086
Ce6 0.999 0.999 0.742
As1 0.168 0.168 0.334
As2 0.500 0.500 0.000
As3 0.832 0.832 0.666
P1 0.500 0.500 0.500
Se1 0.166 0.166 0.833
Se2 0.834 0.834 0.167

Computed properties:
- uncorrected formation energy (meV/atom) = -1585
- DFT total energy (eV/atom) = -6.75
- spin magnetization (μB per cell) = 5.0

Here is a relaxed GaPbF2 crystal from Alexandria via LeMat-Bulk. Energies are from GGA-PBE.

Lattice parameters (Å, degrees): 3.285 3.285 24.388 90.00 90.00 120.00
Element x y z (fractional)
Ga1 0.000 0.000 0.000
Ga2 0.333 0.667 0.667
Ga3 0.667 0.333 0.333
Pb1 0.000 0.000 0.500
Pb2 0.333 0.667 0.167
Pb3 0.667 0.333 0.833
F1 0.000 0.000 0.087
F2 0.000 0.000 0.913
F3 0.333 0.667 0.580
F4 0.333 0.667 0.754
F5 0.667 0.333 0.246
F6 0.667 0.333 0.420

Computed properties:
- uncorrected formation energy (meV/atom) = -1444
- DFT total energy (eV/atom) = -4.06
- spin magnetization (μB per cell) = 0.0

Here is a relaxed NaCa3Tb3Te8 crystal from Alexandria via LeMat-Bulk. Energies are from GGA-PBE.

Lattice parameters (Å, degrees): 8.912 8.912 8.912 59.69 59.69 59.69
Element x y z (fractional)
Na1 0.000 0.000 0.000
Ca1 0.000 0.000 0.500
Ca2 0.000 0.500 0.000
Ca3 0.500 0.000 0.000
Tb1 0.000 0.500 0.500
Tb2 0.500 0.000 0.500
Tb3 0.500 0.500 0.000
Te1 0.252 0.252 0.252
Te2 0.255 0.255 0.737
Te3 0.255 0.737 0.255
Te4 0.263 0.745 0.745
Te5 0.737 0.255 0.255
Te6 0.745 0.263 0.745
Te7 0.745 0.745 0.263
Te8 0.748 0.748 0.748

Computed properties:
- uncorrected formation energy (meV/atom) = -1402
- DFT total energy (eV/atom) = -4.49
- spin magnetization (μB per cell) = 0.0

> Look up the spin magnetization of the third one.

0.0 μB per cell

> Which of these has the highest spin magnetization?

Ce6As3PSe2

> Which value of spin magnetization does entry 4 give?

0.0 μB per cell

> Which of these has the lowest DFT total energy?

Ce2HfSc